# 1
# LiCrRh

LiCrRh after structural relaxation (PBE, Alexandria).

## Properties
* DFT formation energy: 0.397 eV/atom
* mass density: 5.2 g/cm3
* space-group type: P4/nmm (129)
* excess energy over the best structure of this formula in the dataset: 0.2837 eV per atom
* electronic total energy: -5.899 eV/atom

```
6
Lattice="4.200 0.000 0.000 0.000 4.200 0.000 0.000 0.000 5.832" Properties=species:S:1:pos:R:3 pbc="T T T"
Li 1.050 3.150 0.000
Li 3.150 1.050 0.000
Cr 1.050 3.150 2.916
Cr 3.150 1.050 2.916
Rh 1.050 1.050 1.747
Rh 3.150 3.150 4.085
```



# 2
# LiCrRh4

LiCrRh4 after structural relaxation (PBE, Alexandria).

## Properties
* DFT formation energy: 0.200 eV/atom
* mass density: 8.3 g/cm3
* space-group type: F-43m (216)
* electronic total energy: -6.624 eV/atom

```
6
Lattice="0.000 3.610 3.610 3.610 0.000 3.610 3.610 3.610 0.000" Properties=species:S:1:pos:R:3 pbc="T T T"
Li 0.000 0.000 0.000
Cr 1.805 1.805 1.805
Rh 4.513 2.707 2.707
Rh 2.707 4.513 2.707
Rh 2.707 2.707 4.513
Rh 4.513 4.513 4.513
```



# 3
# LiCr2Rh

LiCr2Rh after structural relaxation (PBE, Alexandria).

## Properties
* DFT formation energy: 0.146 eV/atom
* mass density: 6.7 g/cm3
* space-group type: Cmm2 (35)
* electronic total energy: -6.982 eV/atom

```
4
Lattice="1.439 -2.190 0.000 1.439 2.190 0.000 0.000 0.000 8.349" Properties=species:S:1:pos:R:3 pbc="T T T"
Li 0.000 0.000 0.000
Cr 0.000 0.000 4.085
Cr 1.439 0.000 2.363
Rh 1.439 0.000 6.187
```



# 4
# Li2CrRh

Li2CrRh after structural relaxation (PBE, Alexandria).

## Properties
* DFT formation energy: 0.130 eV/atom
* mass density: 5.0 g/cm3
* space-group type: P4/mmm (123)
* excess energy over the best structure of this formula in the dataset: 0.0553 eV per atom
* electronic total energy: -5.070 eV/atom

```
4
Lattice="3.613 0.000 0.000 0.000 3.613 0.000 0.000 0.000 4.324" Properties=species:S:1:pos:R:3 pbc="T T T"
Li 0.000 1.806 0.000
Li 1.806 0.000 0.000
Cr 0.000 0.000 2.162
Rh 1.806 1.806 2.162
```



# 5
# Li4CrRh

Li4CrRh after structural relaxation (PBE, Alexandria).

## Properties
* DFT formation energy: 0.229 eV/atom
* mass density: 3.7 g/cm3
* space-group type: F-43m (216)
* electronic total energy: -3.876 eV/atom

```
6
Lattice="0.000 3.455 3.455 3.455 0.000 3.455 3.455 3.455 0.000" Properties=species:S:1:pos:R:3 pbc="T T T"
Li 0.854 0.854 0.854
Li 2.601 2.601 0.854
Li 2.601 0.854 2.601
Li 0.854 2.601 2.601
Cr 3.455 3.455 3.455
Rh 5.183 5.183 5.183
```



# 6
# Li2CrRh

Li2CrRh after structural relaxation (PBE, Alexandria).

## Properties
* DFT formation energy: 0.570 eV/atom
* mass density: 5.8 g/cm3
* space-group type: Fm-3m (225)
* excess energy over the best structure of this formula in the dataset: 0.4952 eV per atom
* electronic total energy: -4.631 eV/atom

```
4
Lattice="0.000 2.896 2.896 2.896 0.000 2.896 2.896 2.896 0.000" Properties=species:S:1:pos:R:3 pbc="T T T"
Li 1.448 1.448 1.448
Li 4.344 4.344 4.344
Cr 0.000 0.000 0.000
Rh 2.896 2.896 2.896
```